4
Lattice="3.5718 0.0000 0.0000 -1.7859 3.0933 0.0000 0.0000 0.0000 6.9406" Properties=species:S:1:pos:R:3 comment="GGA-PBE PtS, relaxed" dos_at_fermi_per_ev_atom=0.737 raw_formation_energy_ev_per_fu=0.01 pbc="T T T"
Pt 0.0000 2.0622 0.0000
Pt 1.7859 1.0311 3.4703
S 0.0000 2.0622 4.6062
S 1.7859 1.0311 1.1359



12
Lattice="6.6562 0.0000 0.0000 0.0000 6.6562 0.0000 0.0000 0.0000 6.6562" Properties=species:S:1:pos:R:3 comment="GGA-PBE PtS, relaxed" dos_at_fermi_per_ev_atom=0.659 raw_formation_energy_ev_per_fu=0.14 pbc="T T T"
Pt 0.0000 1.6641 3.3281
Pt 0.0000 4.9922 3.3281
Pt 1.6641 3.3281 0.0000
Pt 3.3281 0.0000 1.6641
Pt 3.3281 0.0000 4.9922
Pt 4.9922 3.3281 0.0000
S 0.0000 3.3281 1.6641
S 0.0000 3.3281 4.9922
S 1.6641 0.0000 3.3281
S 3.3281 1.6641 0.0000
S 3.3281 4.9922 0.0000
S 4.9922 0.0000 3.3281



8
Lattice="5.0661 0.0000 0.0000 0.0000 5.0661 0.0000 0.0000 0.0000 5.0661" Properties=species:S:1:pos:R:3 comment="GGA-PBE PtS, relaxed" dos_at_fermi_per_ev_atom=1.513 raw_formation_energy_ev_per_fu=0.20 pbc="T T T"
Pt 0.0000 0.0000 0.0000
Pt 0.0000 2.5331 2.5331
Pt 2.5331 0.0000 2.5331
Pt 2.5331 2.5331 0.0000
S 0.0000 0.0000 2.5331
S 0.0000 2.5331 0.0000
S 2.5331 0.0000 0.0000
S 2.5331 2.5331 2.5331



12
Lattice="4.4231 0.0000 0.0000 0.0000 12.2987 0.0000 0.0000 0.0000 4.1114" Properties=species:S:1:pos:R:3 comment="GGA-PBE PtS, relaxed" dos_at_fermi_per_ev_atom=0.160 raw_formation_energy_ev_per_fu=-0.20 pbc="T T T"
Pt 1.1058 1.0914 0.9511
Pt 1.1058 5.0580 0.9511
Pt 1.1058 9.2240 0.8649
Pt 3.3173 3.0747 3.2465
Pt 3.3173 7.2407 3.1602
Pt 3.3173 11.2074 3.1602
S 1.1058 3.0747 2.2443
S 1.1058 7.1396 3.9248
S 1.1058 11.3085 3.9248
S 3.3173 0.9903 0.1865
S 3.3173 5.1591 0.1865
S 3.3173 9.2240 1.8670